Compound: LiCrInO4
Source: Alexandria
Functional: PBE with a Hubbard U
Structure: optimized geometry

a = 5.969 Å, b = 6.193 Å, c = 6.193 Å
α = 62.03°, β = 61.19°, γ = 61.19°
Element x y z (fractional)
1 Li 0.612 0.638 0.138
2 Li 0.388 0.362 0.862
3 Cr 0.500 0.000 0.500
4 Cr 0.000 0.000 0.500
5 In 0.000 0.000 0.000
6 In 0.000 0.500 0.500
7 O 0.750 0.792 0.708
8 O 0.250 0.792 0.708
9 O 0.750 0.208 0.292
10 O 0.250 0.208 0.292
11 O 0.215 0.779 0.279
12 O 0.727 0.779 0.279
13 O 0.273 0.221 0.721
14 O 0.785 0.221 0.721

Symmetry: Imma, No. 74
Raw total energy in eV/f.u.: -43.4